No. 1
Below is a geometry-optimized SnC structure, with properties calculated at the PBE level.

Cell: 4.789 4.789 4.789 Å, 90.00 90.00 90.00°
Space group Fm-3m (No. 225)
Unique sites:
Sn: 0.000 0.000 0.000 (multiplicity 4)
C: 0.000 0.000 0.500 (multiplicity 4)

* D(E_F): 0.3674 states/eV per atom
* DFT formation energy: 1.29 eV per atom
* total magnetization: 0.000 μB per atom
* energy: -5.32 eV per atom
* distance to the lowest polymorph of the same formula: 480 meV per atom


No. 2
Below is a geometry-optimized SnC structure, with properties calculated at the PBE level.

Cell: 3.640 11.140 5.376 Å, 90.00 90.00 90.00°
Space group Pmmn (No. 59, origin choice 2)
Unique sites:
Sn: 0.250 0.100 0.118 (multiplicity 4)
Sn: 0.250 0.750 0.379 (multiplicity 2)
C: 0.250 0.250 0.388 (multiplicity 2)
C: 0.250 0.601 0.118 (multiplicity 4)

* D(E_F): 0.0047 states/eV per atom
* DFT formation energy: 1.00 eV per atom
* total magnetization: 0.000 μB per atom
* energy: -5.62 eV per atom
* distance to the lowest polymorph of the same formula: 185 meV per atom